1.
I2BrO2 after structural relaxation, computed with GGA-PBE.

The calculation puts the excess energy over the best structure of this formula in the dataset at 0.547 eV per atom. Its uncorrected formation energy is 0.6758 eV/atom. The volume is 136.6 Å³/f.u. For the spin magnetization, the calculation gives 0.4 μB/cell.

The space group is P4/mmm (No. 123) and the conventional cell measures 4.203, 4.203 and 7.731 Å, with angles of 90.00, 90.00 and 90.00 degrees. The distinct sites, in fractional coordinates, are I at (0.000, 0.000, 0.000), I at (0.500, 0.500, 0.000), Br at (0.000, 0.000, 0.500) and O at (0.000, 0.500, 0.500).

=====

2.
I2BrO2 after structural relaxation, computed with GGA-PBE.

The calculation puts the excess energy over the best structure of this formula in the dataset at 0.000 eV per atom. Its uncorrected formation energy is 0.1284 eV/atom. The volume is 147.9 Å³/f.u. For the spin magnetization, the calculation gives 0.0 μB/cell.

The space group is P4/mmm (No. 123) and the conventional cell measures 4.140, 4.140 and 8.626 Å, with angles of 90.00, 90.00 and 90.00 degrees. The distinct sites, in fractional coordinates, are I at (0.000, 0.000, 0.000), I at (0.000, 0.000, 0.500), Br at (0.500, 0.500, 0.000) and O at (0.000, 0.500, 0.500).

=====

3.
IBrO after structural relaxation, computed with GGA-PBE.

The calculation puts the excess energy over the best structure of this formula in the dataset at 0.009 eV per atom. Its uncorrected formation energy is -0.0527 eV/atom. The volume is 91.9 Å³/f.u. For the spin magnetization, the calculation gives 0.0 μB/cell.

The space group is P1 (No. 1) and the conventional cell measures 5.322, 5.401 and 6.607 Å, with angles of 99.92, 100.32 and 91.54 degrees. The distinct sites, in fractional coordinates, are I at (0.000, 0.000, 0.000), I at (0.176, 0.824, 0.499), Br at (0.359, 0.359, 0.215), Br at (0.646, 0.636, 0.783), O at (0.112, 0.094, 0.716) and O at (0.901, 0.895, 0.283).

=====

4.
I2BrO2 after structural relaxation, computed with GGA-PBE.

The calculation puts the excess energy over the best structure of this formula in the dataset at 1.059 eV per atom. Its uncorrected formation energy is 1.1870 eV/atom. The volume is 128.2 Å³/f.u. For the spin magnetization, the calculation gives 0.0 μB/cell.

The space group is P4/mmm (No. 123) and the conventional cell measures 5.834, 5.834 and 3.767 Å, with angles of 90.00, 90.00 and 90.00 degrees. The distinct sites, in fractional coordinates, are I at (0.000, 0.500, 0.000), Br at (0.000, 0.000, 0.000), O at (0.000, 0.000, 0.500) and O at (0.500, 0.500, 0.500).

=====

5.
IBrO2 after structural relaxation, computed with GGA-PBE.

The calculation puts the excess energy over the best structure of this formula in the dataset at 0.000 eV per atom. Its uncorrected formation energy is -0.1056 eV/atom. The volume is 111.9 Å³/f.u. For the spin magnetization, the calculation gives 0.0 μB/cell.

The space group is P2_1/c (No. 14) and the conventional cell measures 5.653, 7.698 and 10.770 Å, with angles of 90.00, 107.26 and 90.00 degrees. The distinct sites, in fractional coordinates, are I at (0.185, 0.018, 0.414), Br at (0.136, 0.574, 0.674), O at (0.128, 0.085, 0.601) and O at (0.385, 0.663, 0.985).

=====

6.
I2BrO2 after structural relaxation, computed with GGA-PBE.

The calculation puts the excess energy over the best structure of this formula in the dataset at 0.841 eV per atom. Its uncorrected formation energy is 0.9696 eV/atom. The volume is 104.1 Å³/f.u. For the spin magnetization, the calculation gives 0.3 μB/cell.

The space group is P4/mmm (No. 123) and the conventional cell measures 5.011, 5.011 and 4.147 Å, with angles of 90.00, 90.00 and 90.00 degrees. The distinct sites, in fractional coordinates, are I at (0.000, 0.500, 0.000), Br at (0.000, 0.000, 0.500), O at (0.500, 0.500, 0.000) and O at (0.500, 0.500, 0.500).

=====

7.
I3BrO after structural relaxation, computed with GGA-PBE.

The calculation puts the excess energy over the best structure of this formula in the dataset at 0.000 eV per atom. Its uncorrected formation energy is 0.5518 eV/atom. The volume is 136.1 Å³/f.u. For the spin magnetization, the calculation gives 0.0 μB/cell.

The space group is Pm-3m (No. 221) and the conventional cell measures 5.143, 5.143 and 5.143 Å, with angles of 90.00, 90.00 and 90.00 degrees. The distinct sites, in fractional coordinates, are I at (0.000, 0.000, 0.500), Br at (0.500, 0.500, 0.500) and O at (0.000, 0.000, 0.000).

=====

8.
IBrO after structural relaxation, computed with GGA-PBE.

The calculation puts the excess energy over the best structure of this formula in the dataset at 0.084 eV per atom. Its uncorrected formation energy is 0.0224 eV/atom. The volume is 109.5 Å³/f.u. For the spin magnetization, the calculation gives 0.0 μB/cell.

The space group is Fdd2 (No. 43) and the conventional cell measures 7.407, 16.896 and 14.004 Å, with angles of 90.00, 90.00 and 90.00 degrees. The distinct sites, in fractional coordinates, are I at (0.038, 0.248, 0.000), Br at (0.060, 0.381, 0.731) and O at (0.021, 0.077, 0.768).

=====

- The lowest volume belongs to which entry?
  number 3

=====

- What is the formula in the third record?
  IBrO

=====

What did the first record say?
I2BrO2 after structural relaxation, computed with GGA-PBE.

The calculation puts the excess energy over the best structure of this formula in the dataset at 0.547 eV per atom. Its uncorrected formation energy is 0.6758 eV/atom. The volume is 136.6 Å³/f.u. For the spin magnetization, the calculation gives 0.4 μB/cell.

The space group is P4/mmm (No. 123) and the conventional cell measures 4.203, 4.203 and 7.731 Å, with angles of 90.00, 90.00 and 90.00 degrees. The distinct sites, in fractional coordinates, are I at (0.000, 0.000, 0.000), I at (0.500, 0.500, 0.000), Br at (0.000, 0.000, 0.500) and O at (0.000, 0.500, 0.500).

=====

Please write out number 6 again, unchanged.
I2BrO2 after structural relaxation, computed with GGA-PBE.

The calculation puts the excess energy over the best structure of this formula in the dataset at 0.841 eV per atom. Its uncorrected formation energy is 0.9696 eV/atom. The volume is 104.1 Å³/f.u. For the spin magnetization, the calculation gives 0.3 μB/cell.

The space group is P4/mmm (No. 123) and the conventional cell measures 5.011, 5.011 and 4.147 Å, with angles of 90.00, 90.00 and 90.00 degrees. The distinct sites, in fractional coordinates, are I at (0.000, 0.500, 0.000), Br at (0.000, 0.000, 0.500), O at (0.500, 0.500, 0.000) and O at (0.500, 0.500, 0.500).